The following is a DFT calculation (PBE-GGA) of a relaxed structure of Na2Sr2Sb4Pd.

Properties
The calculation puts the electronic total energy at -3.660 eV/atom.

POSCAR file:
```
Na2Sr2Sb4Pd
1.0
-3.662 3.662 4.845
3.662 -3.662 4.845
3.662 3.662 -4.845
Na Sr Sb Pd
2 2 4 1
Direct
0.210 0.210 0.000
0.790 0.790 0.000
0.250 0.750 0.500
0.750 0.250 0.500
0.243 0.243 0.486
0.243 0.757 0.000
0.757 0.243 0.000
0.757 0.757 0.514
0.500 0.500 0.000
```